4
Lattice="3.900 0.000 0.000 0.000 2.952 0.016 0.000 2.947 5.941" Properties=species:S:1:pos:R:3 comment="MnIn2Fe, optimized geometry, DFT PBE" m_tot_mub_per_cell=5.54 e_form_ev_per_atom=0.272 total_energy_ev_per_atom=-5.51 spacegroup="P2/m (10)" rho_g_cm3=8.3 pbc="T T T"
Fe 1.950 4.424 4.468
Mn 1.950 1.475 1.489
In 0.000 2.947 5.920
In 0.000 2.950 3.001